[1]
The following is a DFT calculation (PBE) of a geometry-optimized Ba2SrTe structure.

abc: 4.2839 4.2930 11.9106
angles: 68.89 90.00 90.00
Fractional positions:
Ba  0.0000  0.0681  0.9320
Ba  0.0000  0.4319  0.5680
Sr  0.5000  0.2500  0.2500
Te  0.5000  0.7500  0.7500

**Total moment**: 0.00 μB per atom
**VASP energy**: -11.7 eV/f.u.
**Energy relative to the elements, uncorrected**: -0.75 eV/atom

---

[2]
The following is a DFT calculation (PBE) of a geometry-optimized BaSrV2Te structure.

abc: 5.4979 7.4302 5.4979
angles: 90.00 90.00 90.00
Fractional positions:
Sr  0.0000  0.0000  0.0000
Te  0.5000  0.5000  0.5000
Ba  0.0000  0.5000  0.0000
V  0.0000  0.0000  0.5000
V  0.5000  0.0000  0.0000

**Total moment**: 2.00 μB per atom
**VASP energy**: -17.7 eV/f.u.
**Energy relative to the elements, uncorrected**: 1.47 eV/atom

---

[3]
The following is a DFT calculation (PBE) of a geometry-optimized BaSrTeW2 structure.

abc: 5.6380 6.1146 5.6380
angles: 90.00 90.00 90.00
Fractional positions:
Sr  0.0000  0.0000  0.0000
Te  0.0000  0.5000  0.0000
Ba  0.5000  0.5000  0.5000
W  0.0000  0.0000  0.5000
W  0.5000  0.0000  0.0000

**Total moment**: 1.60 μB per atom
**VASP energy**: -22.5 eV/f.u.
**Energy relative to the elements, uncorrected**: 2.04 eV/atom

---

[4]
The following is a DFT calculation (PBE) of a geometry-optimized Ba2SrTh structure.

abc: 3.8652 3.8652 14.8082
angles: 82.50 82.50 60.00
Fractional positions:
Sr  0.5000  0.5000  0.5000
Ba  0.0834  0.0834  0.7499
Ba  0.9166  0.9166  0.2501
Th  0.0000  0.0000  0.0000

**Total moment**: 0.00 μB per atom
**VASP energy**: -11.1 eV/f.u.
**ΔH_f (0 K)**: 469.5 meV per atom

---

[5]
The following is a DFT calculation (PBE) of a geometry-optimized BaSrTi2 structure.

abc: 5.5599 5.5599 5.5599
angles: 60.00 60.00 60.00
Fractional positions:
Sr  0.0000  0.0000  0.0000
Ba  0.5000  0.5000  0.5000
Ti  0.2500  0.2500  0.2500
Ti  0.7500  0.7500  0.7500

**Total moment**: 0.00 μB per atom
**VASP energy**: -15.2 eV/f.u.
**ΔH_f (0 K)**: 1040.5 meV per atom

---

[6]
The following is a DFT calculation (PBE) of a geometry-optimized BaSr3Ti structure.

abc: 6.4464 6.4464 6.4464
angles: 90.00 90.00 90.00
Fractional positions:
Sr  0.0000  0.5000  0.0000
Sr  0.0000  0.0000  0.5000
Sr  0.5000  0.0000  0.0000
Ba  0.5000  0.5000  0.5000
Ti  0.0000  0.0000  0.0000

**Total moment**: 0.80 μB per atom
**VASP energy**: -12.2 eV/f.u.
**ΔH_f (0 K)**: 532.6 meV per atom

---

[7]
The following is a DFT calculation (PBE) of a geometry-optimized BaSrTi3 structure.

abc: 5.2157 5.2157 5.2157
angles: 90.00 90.00 90.00
Fractional positions:
Sr  0.5000  0.5000  0.5000
Ba  0.0000  0.0000  0.0000
Ti  0.0000  0.5000  0.0000
Ti  0.0000  0.0000  0.5000
Ti  0.5000  0.0000  0.0000

**Total moment**: 0.32 μB per atom
**VASP energy**: -19.9 eV/f.u.
**ΔH_f (0 K)**: 1469.0 meV per atom

---

[8]
The following is a DFT calculation (PBE) of a geometry-optimized Ba3SrTi structure.

abc: 6.5254 6.5254 6.5254
angles: 90.00 90.00 90.00
Fractional positions:
Sr  0.0000  0.0000  0.0000
Ba  0.0000  0.5000  0.0000
Ba  0.0000  0.0000  0.5000
Ba  0.5000  0.0000  0.0000
Ti  0.5000  0.5000  0.5000

**Total moment**: 0.00 μB per atom
**VASP energy**: -8.6 eV/f.u.
**ΔH_f (0 K)**: 1349.3 meV per atom

---

no.,D(E_F) (states/eV/atom)
1,1.094
2,1.578
3,0.410
4,1.986
5,2.788
6,2.050
7,1.139
8,2.636